(1)
A plane-wave DFT calculation with PBE-GGA was carried out for Fe2TeIr after structural relaxation.

Calculated values
Space group: I-42d, No. 122
Magnetic moment, μB per cell: 5.078
Raw formation energy, eV/f.u.: 3.04

abc: 5.3750 5.3750 6.8744
angles: 66.99 66.99 90.00
With the nearest neighbours (Å) after each atom.
Fractional positions:
1 Ir 0.0000 0.0000 0.0000  4 Fe 2.28
2 Ir 0.7500 0.2500 0.5000  4 Fe 2.28
3 Te 0.5000 0.5000 0.0000  4 Fe 2.49
4 Te 0.2500 0.7500 0.5000  4 Fe 2.49
5 Fe 0.6602 0.1250 0.2500  2 Ir 2.28, 2 Te 2.49
6 Fe 0.0898 0.6250 0.2500  2 Ir 2.28, 2 Te 2.49
7 Fe 0.3750 0.3398 0.7500  2 Ir 2.28, 2 Te 2.49
8 Fe 0.8750 0.9102 0.7500  2 Ir 2.28, 2 Te 2.49


(2)
A plane-wave DFT calculation with PBE-GGA was carried out for Sr2CaMg after structural relaxation.

Calculated values
Calculated formation energy, eV/atom: 0.00
Space group: Imm2, No. 44
Magnetic moment, μB per cell: 0.001

abc: 7.4428 7.4428 7.4428
angles: 147.17 129.34 61.69
With the nearest neighbours (Å) after each atom.
Fractional positions:
1 Sr 0.0305 0.0305 0.0000  2 Mg 3.58, 4 Ca 3.90
2 Sr 0.7455 0.2455 0.5000  4 Mg 3.82, 4 Ca 4.14-4.26, 6 Sr 4.21
3 Ca 0.4665 0.4665 0.0000  2 Mg 3.40
4 Mg 0.2575 0.7575 0.5000  2 Ca 3.40, 2 Sr 3.58


(3)
A plane-wave DFT calculation with PBE-GGA was carried out for Ni4AgAs after structural relaxation.

Calculated values
Calculated formation energy, eV/atom: 0.19
Space group: F-43m, No. 216
Magnetic moment, μB per cell: 0.007

abc: 4.8152 4.8152 4.8152
angles: 60.00 60.00 60.00
With the nearest neighbours (Å) after each atom.
Fractional positions:
1 Ni 0.6250 0.6250 0.1249  6 Ni 2.41
2 Ni 0.6250 0.1249 0.6250  6 Ni 2.41
3 Ni 0.6250 0.6250 0.6250  6 Ni 2.41
4 Ni 0.1249 0.6250 0.6250  6 Ni 2.41
5 Ag 0.2500 0.2500 0.2500  12 Ni 2.82, 4 As 2.95
6 As 0.0000 0.0000 0.0000  12 Ni 2.82, 4 Ag 2.95


(4)
A plane-wave DFT calculation with PBE-GGA was carried out for SrMg2In after structural relaxation.

Calculated values
Calculated formation energy, eV/atom: -0.10
Space group: P4/mmm, No. 123
Magnetic moment, μB per cell: 0.000

abc: 3.7742 3.7742 8.2403
angles: 90.00 90.00 90.00
With the nearest neighbours (Å) after each atom.
Fractional positions:
1 In 0.5000 0.5000 0.7500  8 Mg 3.15
2 Mg 0.0000 0.0000 0.9524  4 In 3.15, 1 Mg 3.34
3 Mg 0.0000 0.0000 0.5476  4 In 3.15, 1 Mg 3.34
4 Sr 0.5000 0.5000 0.2500  8 Mg 3.62, 4 Sr 3.77


(5)
A plane-wave DFT calculation with PBE-GGA was carried out for SnHOs after structural relaxation.

Calculated values
Space group: Pm, No. 6
Magnetic moment, μB per cell: 0.000
Energy above the lowest structure with this stoichiometry, meV/atom: 219

abc: 3.2009 4.0671 3.2393
angles: 90.00 108.34 90.00
With the nearest neighbours (Å) after each atom.
Fractional positions:
1 Sn 0.6874 0.5000 0.0672  4 H 2.61-2.81, 4 Os 2.73-2.84
2 H 0.4382 0.0000 0.4379  2 Os 1.77-1.81
3 Os 0.0157 0.0000 0.6984  2 H 1.77-1.81


(6)
A plane-wave DFT calculation with PBE-GGA was carried out for InNi3Pb after structural relaxation.

Calculated values
Calculated formation energy, eV/atom: 0.88
Space group: Pm-3m, No. 221
Magnetic moment, μB per cell: 0.000
Energy above the lowest structure with this stoichiometry, meV/atom: 0

abc: 4.7209 4.7209 4.7209
angles: 90.00 90.00 90.00
With the nearest neighbours (Å) after each atom.
Fractional positions:
1 Pb 0.5000 0.5000 0.5000  12 Ni 3.34
2 Ni 0.0000 0.5000 0.0000  2 In 2.36
3 Ni 0.0000 0.0000 0.5000  2 In 2.36
4 Ni 0.5000 0.0000 0.0000  2 In 2.36
5 In 0.0000 0.0000 0.0000  6 Ni 2.36


no.,DOS at the Fermi energy (states/eV/atom)
1,1.0980
2,1.1137
3,1.3052
4,0.5504
5,0.2764
6,0.8837